Entry 1:
## MgGa2Cl8 (PBE)

Data for crystalline MgGa2Cl8 at its relaxed geometry.

Cell: 8.772 9.936 10.423 Å, 70.77 65.12 63.81°
Atoms (fractional coordinates):
1 Mg 0.990 0.750 0.250
2 Mg 0.010 0.250 0.750
3 Ga 0.845 0.867 0.967
4 Ga 0.321 0.367 0.467
5 Ga 0.679 0.633 0.533
6 Ga 0.155 0.133 0.033
7 Cl 0.400 0.747 0.555
8 Cl 0.124 0.945 0.221
9 Cl 0.723 0.954 0.174
10 Cl 0.180 0.213 0.492
11 Cl 0.277 0.046 0.826
12 Cl 0.886 0.287 0.008
13 Cl 0.820 0.787 0.508
14 Cl 0.149 0.454 0.674
15 Cl 0.114 0.713 0.992
16 Cl 0.703 0.753 0.945
17 Cl 0.709 0.445 0.721
18 Cl 0.291 0.555 0.279
19 Cl 0.297 0.247 0.055
20 Cl 0.851 0.546 0.326
21 Cl 0.600 0.253 0.445
22 Cl 0.876 0.055 0.779

DOS at the Fermi energy: 0.0 states/eV/f.u.
calculated total energy: -3.363 eV per atom
E_form (uncorrected): -1.324 eV per atom

=====

Entry 2:
## CdRe2NF (PBE)

Data for crystalline CdRe2NF at its relaxed geometry.

Cell: 4.016 4.621 4.016 Å, 90.00 90.00 90.00°
Atoms (fractional coordinates):
1 Re 0.000 0.000 0.500
2 Re 0.500 0.000 0.000
3 N 0.000 0.500 0.000
4 F 0.000 0.000 0.000
5 Cd 0.500 0.500 0.500

DOS at the Fermi energy: 5.6 states/eV/f.u.
calculated total energy: -5.372 eV per atom
E_form (uncorrected): 1.830 eV per atom

=====

Entry 3:
## NiSbW2 (PBE)

Data for crystalline NiSbW2 at its relaxed geometry.

Cell: 8.965 8.965 8.965 Å, 18.88 18.88 18.88°
Atoms (fractional coordinates):
1 Ni 0.250 0.250 0.250
2 Sb 0.750 0.750 0.750
3 W 0.993 0.993 0.993
4 W 0.507 0.507 0.507

DOS at the Fermi energy: 3.0 states/eV/f.u.
calculated total energy: -8.296 eV per atom
E_form (uncorrected): 0.656 eV per atom

=====

Entry 4:
## PuCd2In2Hg7 (PBE)

Data for crystalline PuCd2In2Hg7 at its relaxed geometry.

Cell: 4.678 4.678 15.821 Å, 71.76 71.76 87.93°
Atoms (fractional coordinates):
1 Pu 0.000 0.000 0.000
2 Cd 0.819 0.819 0.679
3 Cd 0.181 0.181 0.321
4 In 0.677 0.677 0.322
5 In 0.323 0.323 0.678
6 Hg 0.500 0.500 0.000
7 Hg 0.242 0.242 0.501
8 Hg 0.758 0.758 0.499
9 Hg 0.834 0.334 0.163
10 Hg 0.334 0.834 0.163
11 Hg 0.666 0.166 0.837
12 Hg 0.166 0.666 0.837

DOS at the Fermi energy: 18.4 states/eV/f.u.
calculated total energy: -2.006 eV per atom
formation enthalpy at 0 K: -27 meV/atom

=====

Entry 5:
## Sm3ThSc2Te6 (PBE)

Data for crystalline Sm3ThSc2Te6 at its relaxed geometry.

Cell: 4.307 8.827 9.680 Å, 100.86 102.85 90.00°
Atoms (fractional coordinates):
1 Sm 0.500 0.500 0.000
2 Sm 0.846 0.161 0.692
3 Sm 0.154 0.839 0.308
4 Th 0.500 0.000 0.000
5 Sc 0.834 0.664 0.668
6 Sc 0.166 0.336 0.332
7 Te 0.326 0.892 0.652
8 Te 0.672 0.579 0.344
9 Te 0.674 0.108 0.348
10 Te 0.011 0.261 0.023
11 Te 0.989 0.739 0.977
12 Te 0.328 0.421 0.656

DOS at the Fermi energy: 7.5 states/eV/f.u.
calculated total energy: -5.636 eV per atom
E_form (uncorrected): -1.212 eV per atom

=====

Entry 6:
## AcPmNd14 (PBE)

Data for crystalline AcPmNd14 at its relaxed geometry.

Cell: 7.445 7.445 12.021 Å, 90.00 90.00 120.00°
Atoms (fractional coordinates):
1 Ac 0.667 0.333 0.000
2 Pm 0.166 0.834 0.000
3 Nd 0.667 0.333 0.500
4 Nd 0.167 0.833 0.500
5 Nd 0.166 0.332 0.000
6 Nd 0.167 0.334 0.500
7 Nd 0.668 0.834 0.000
8 Nd 0.666 0.833 0.500
9 Nd 0.332 0.166 0.747
10 Nd 0.332 0.166 0.253
11 Nd 0.834 0.668 0.747
12 Nd 0.834 0.668 0.253
13 Nd 0.834 0.166 0.747
14 Nd 0.834 0.166 0.253
15 Nd 0.333 0.667 0.751
16 Nd 0.333 0.667 0.249

DOS at the Fermi energy: 29.7 states/eV/f.u.
calculated total energy: -4.688 eV per atom
formation enthalpy at 0 K: 38 meV/atom

=====

Question: Which value of DOS at the Fermi energy does entry 6 give?
Answer: 29.7 states/eV/f.u.